Material: Ce4Co2Pt
Method: DFT, GGA-PBE
State: relaxed

relative energy among the computed polymorphs = 0.000 eV/f.u.
formation energy = -0.4096 eV per atom
total moment = 0.06 μB per atom
space group = No. 9

```
data_Ce4Co2Pt
_chemical_formula_sum 'Ce8 Co4 Pt2'
_symmetry_space_group_name_H-M 'P 1'
_symmetry_Int_Tables_number 1
_cell_length_a 6.9372
_cell_length_b 6.6599
_cell_length_c 7.9878
_cell_angle_alpha 107.50
_cell_angle_beta 108.82
_cell_angle_gamma 105.51
loop_
_symmetry_equiv_pos_as_xyz
'x,y,z'
loop_
_atom_site_label
_atom_site_type_symbol
_atom_site_fract_x
_atom_site_fract_y
_atom_site_fract_z
Co1 Co 0.5590 0.1254 0.9236
Co2 Co 0.2418 0.5953 0.0911
Co3 Co 0.9007 0.7540 0.4090
Co4 Co 0.3854 0.4518 0.5763
Ce1 Ce 0.4570 0.3793 0.1987
Ce2 Ce 0.6534 0.9074 0.1752
Ce3 Ce 0.7399 0.4603 0.8981
Ce4 Ce 0.2283 0.9823 0.3250
Ce5 Ce 0.0083 0.4307 0.3012
Ce6 Ce 0.1690 0.7630 0.7934
Ce7 Ce 0.1255 0.2197 0.7066
Ce8 Ce 0.5919 0.8121 0.6019
Pt1 Pt 0.9588 0.0482 0.9781
Pt2 Pt 0.7309 0.3204 0.5219
```